# PrTmS2 (PBE, relaxed)
data_PrTmS2
_cell_length_a 6.771
_cell_length_b 3.916
_cell_length_c 7.057
_cell_angle_alpha 90.00
_cell_angle_beta 108.72
_cell_angle_gamma 90.00
_space_group_name_H-M_alt 'C 1 2/m 1'
_space_group_IT_number 12
loop_
_space_group_symop_operation_xyz
'x,y,z'
'-x,-y,-z'
'-x,y,-z'
'x,-y,z'
'x+1/2,y+1/2,z'
'-x+1/2,-y+1/2,-z'
'-x+1/2,y+1/2,-z'
'x+1/2,-y+1/2,z'
loop_
_atom_site_label
_atom_site_type_symbol
_atom_site_fract_x
_atom_site_fract_y
_atom_site_fract_z
Pr1 Pr 0.000 0.000 0.000
Tm1 Tm 0.000 0.500 0.500
S1 S 0.241 0.000 0.724
# **E above lowest polymorph**: 0 kJ/mol of formula units

DFT (PBE) results for an optimized crystal structure of PrTm2S3.

Cell and atoms, written as CIF:
```
data_PrTm2S3
_cell_length_a 3.8936
_cell_length_b 3.8936
_cell_length_c 9.7805
_cell_angle_alpha 90.00
_cell_angle_beta 90.00
_cell_angle_gamma 120.00
_space_group_name_H-M_alt 'P -3 m 1'
_space_group_IT_number 164
_space_group_name_Hall '-P 3 2"'
loop_
_atom_site_label
_atom_site_type_symbol
_atom_site_fract_x
_atom_site_fract_y
_atom_site_fract_z
Pr1 Pr 0.0000 0.0000 0.0000
Tm1 Tm 0.3333 0.6667 0.6613
S1 S 0.0000 0.0000 0.5000
S2 S 0.3333 0.6667 0.1876
```

# PrTmS3 (PBE, relaxed)
data_PrTmS3
_cell_length_a 11.020
_cell_length_b 3.961
_cell_length_c 21.520
_cell_angle_alpha 90.00
_cell_angle_beta 101.61
_cell_angle_gamma 90.00
_space_group_name_H-M_alt 'P 1 21/m 1'
_space_group_IT_number 11
loop_
_space_group_symop_operation_xyz
'x,y,z'
'-x,-y,-z'
'-x,y+1/2,-z'
'x,-y+1/2,z'
loop_
_atom_site_label
_atom_site_type_symbol
_atom_site_fract_x
_atom_site_fract_y
_atom_site_fract_z
Pr1 Pr 0.091 0.250 0.364
Pr2 Pr 0.202 0.250 0.037
Pr3 Pr 0.303 0.750 0.734
Pr4 Pr 0.308 0.250 0.234
Tm1 Tm 0.029 0.250 0.851
Tm2 Tm 0.180 0.250 0.546
Tm3 Tm 0.447 0.250 0.917
Tm4 Tm 0.478 0.750 0.413
S1 S 0.038 0.250 0.229
S2 S 0.058 0.750 0.944
S3 S 0.085 0.750 0.464
S4 S 0.125 0.250 0.663
S5 S 0.205 0.750 0.135
S6 S 0.253 0.750 0.327
S7 S 0.254 0.250 0.824
S8 S 0.342 0.750 0.599
S9 S 0.356 0.750 0.985
S10 S 0.364 0.250 0.464
S11 S 0.453 0.250 0.134
S12 S 0.494 0.250 0.719
# **E above lowest polymorph**: 2 kJ/mol of formula units

# PrTmS2 (PBE, relaxed)
data_PrTmS2
_cell_length_a 3.982
_cell_length_b 3.982
_cell_length_c 5.631
_cell_angle_alpha 90.00
_cell_angle_beta 90.00
_cell_angle_gamma 90.00
_space_group_name_H-M_alt 'P 4/m m m'
_space_group_IT_number 123
_space_group_name_Hall '-P 4 2'
loop_
_atom_site_label
_atom_site_type_symbol
_atom_site_fract_x
_atom_site_fract_y
_atom_site_fract_z
Pr1 Pr 0.000 0.000 0.000
Tm1 Tm 0.500 0.500 0.500
S1 S 0.000 0.000 0.500
S2 S 0.500 0.500 0.000
# **E above lowest polymorph**: 29 kJ/mol of formula units

V list, top to bottom, in Å³/cell: 177.2 128.4 920.2 89.3
Uncorrected energy list, top to bottom, in eV per atom: -6.37 -6.32 -6.40 -6.29
Magnetization list, top to bottom, in μB/f.u.: 0.0 0.0 0.0 0.0